# PBE-GGA Sm6IrPb2, relaxed
data_Sm6IrPb2
_chemical_formula_sum 'Sm12 Ir2 Pb4'
_cell_length_a 6.434
_cell_length_b 8.522
_cell_length_c 12.153
_cell_angle_alpha 90.00
_cell_angle_beta 121.44
_cell_angle_gamma 90.00
_symmetry_space_group_name_H-M 'P 1 21/c 1'
_symmetry_Int_Tables_number 14
_symmetry_space_group_name_Hall '-P 2ybc'
loop_
_atom_site_label
_atom_site_type_symbol
_atom_site_fract_x
_atom_site_fract_y
_atom_site_fract_z
_atom_site_occupancy
Sm1 Sm 0.083 0.174 0.451 1
Sm2 Sm 0.316 0.687 0.450 1
Sm3 Sm 0.354 0.028 0.244 1
Ir1 Ir 0.500 0.000 0.500 1
Pb1 Pb 0.173 0.114 0.755 1
# Energy of formation, eV per formula unit: -3.73
# Size of the total moment, μB per formula unit: 0.00